(1)
A geometry-optimized TmLu2Se3 structure. Source: the Open Quantum Materials Database, functional PBE.

Lattice parameters (Å, degrees): 3.9651 3.9651 9.8611 90.00 90.00 120.00
Last column: nearest neighbours and their distance in Å.
Sites, in units of the cell vectors:
Lu 0.6667 0.3333 0.3327  6 Se 2.80-2.82
Lu 0.3333 0.6667 0.6673  6 Se 2.80-2.82
Se 0.3333 0.6667 0.1693  3 Lu 2.80, 3 Tm 2.83
Se 0.0000 0.0000 0.5000  6 Lu 2.82
Se 0.6667 0.3333 0.8307  3 Lu 2.80, 3 Tm 2.83
Tm 0.0000 0.0000 0.0000  6 Se 2.83

Uncorrected energy in eV/atom: -5.60
Magnetization in μB/f.u.: 0.0

=====

(2)
A geometry-optimized Tm6Lu2Se structure. Source: the Open Quantum Materials Database, functional PBE.

Lattice parameters (Å, degrees): 8.9474 8.9474 3.6825 90.00 90.00 120.00
Last column: nearest neighbours and their distance in Å.
Sites, in units of the cell vectors:
Lu 0.6667 0.3333 0.5000  9 Tm 3.31-3.36, 2 Lu 3.68
Lu 0.3333 0.6667 0.5000  9 Tm 3.31-3.36, 2 Lu 3.68
Se 0.0000 0.0000 0.0000  6 Tm 2.97
Tm 0.6065 0.0000 0.0000  4 Lu 3.31, 1 Se 3.52, 8 Tm 3.60-3.68
Tm 0.3935 0.3935 0.0000  4 Lu 3.31, 1 Se 3.52, 8 Tm 3.60-3.68
Tm 0.0000 0.6065 0.0000  4 Lu 3.31, 1 Se 3.52, 8 Tm 3.60-3.68
Tm 0.2606 0.0000 0.5000  2 Se 2.97
Tm 0.0000 0.2606 0.5000  2 Se 2.97
Tm 0.7394 0.7394 0.5000  2 Se 2.97

Uncorrected energy in eV/atom: -4.73
Magnetization in μB/f.u.: 0.0

=====

(3)
A geometry-optimized LuUSe3 structure. Source: the Open Quantum Materials Database, functional PBE.

Lattice parameters (Å, degrees): 6.8501 6.8501 9.8548 90.00 90.00 146.72
Last column: nearest neighbours and their distance in Å.
Sites, in units of the cell vectors:
Lu 0.0000 0.0000 0.0000  6 Se 2.72-2.81
Lu 0.0000 0.0000 0.5000  6 Se 2.72-2.81
Se 0.3543 0.6457 0.0640  2 Lu 2.81, 2 U 3.02
Se 0.0880 0.9120 0.2500  2 Lu 2.72, 2 U 2.89
Se 0.3543 0.6457 0.4360  2 Lu 2.81, 2 U 3.02
Se 0.6457 0.3543 0.5640  2 Lu 2.81, 2 U 3.02
Se 0.9120 0.0880 0.7500  2 Lu 2.72, 2 U 2.89
Se 0.6457 0.3543 0.9360  2 Lu 2.81, 2 U 3.02
U 0.7493 0.2507 0.2500  6 Se 2.89-3.02
U 0.2507 0.7493 0.7500  6 Se 2.89-3.02

Uncorrected energy in eV/atom: -6.71
Magnetization in μB/f.u.: 2.9

=====

(4)
A geometry-optimized Lu2Si structure. Source: the Open Quantum Materials Database, functional PBE.

Lattice parameters (Å, degrees): 7.6577 7.6577 4.1272 90.00 90.00 120.00
Last column: nearest neighbours and their distance in Å.
Sites, in units of the cell vectors:
Lu 0.2649 0.0000 0.0000  4 Si 2.85-2.89
Lu 0.0000 0.2649 0.0000  4 Si 2.85-2.89
Lu 0.7351 0.7351 0.0000  4 Si 2.85-2.89
Lu 0.6000 0.0000 0.5000  5 Si 3.06-3.12, 6 Lu 3.29-3.40
Lu 0.4000 0.4000 0.5000  5 Si 3.06-3.12, 6 Lu 3.29-3.40
Lu 0.0000 0.6000 0.5000  5 Si 3.06-3.12, 6 Lu 3.29-3.40
Si 0.6667 0.3333 0.0000  9 Lu 2.85-3.12
Si 0.3333 0.6667 0.0000  9 Lu 2.85-3.12
Si 0.0000 0.0000 0.5000  9 Lu 2.89-3.06

Uncorrected energy in eV/atom: -5.36
Magnetization in μB/f.u.: 0.1

=====

(5)
A geometry-optimized Lu3Si structure. Source: the Open Quantum Materials Database, functional PBE.

Lattice parameters (Å, degrees): 7.5313 8.9008 6.0776 90.00 90.00 90.00
Last column: nearest neighbours and their distance in Å.
Sites, in units of the cell vectors:
Lu 0.4700 0.2500 0.1229  2 Si 2.87-2.93
Lu 0.1776 0.5564 0.1466  3 Si 2.88-3.05
Lu 0.1776 0.9436 0.1466  3 Si 2.88-3.05
Lu 0.6776 0.5564 0.3534  3 Si 2.88-3.05
Lu 0.6776 0.9436 0.3534  3 Si 2.88-3.05
Lu 0.9700 0.2500 0.3771  2 Si 2.87-2.93
Lu 0.0300 0.7500 0.6229  2 Si 2.87-2.93
Lu 0.3224 0.0564 0.6466  3 Si 2.88-3.05
Lu 0.3224 0.4436 0.6466  3 Si 2.88-3.05
Lu 0.8224 0.0564 0.8534  3 Si 2.88-3.05
Lu 0.8224 0.4436 0.8534  3 Si 2.88-3.05
Lu 0.5300 0.7500 0.8771  2 Si 2.87-2.93
Si 0.8786 0.7500 0.0667  8 Lu 2.87-3.05
Si 0.3786 0.7500 0.4333  8 Lu 2.87-3.05
Si 0.6214 0.2500 0.5667  8 Lu 2.87-3.05
Si 0.1214 0.2500 0.9334  8 Lu 2.87-3.05

Uncorrected energy in eV/atom: -5.15
Magnetization in μB/f.u.: 0.6

=====

(6)
A geometry-optimized Lu2Si structure. Source: the Open Quantum Materials Database, functional PBE.

Lattice parameters (Å, degrees): 4.7217 4.7217 4.7217 60.00 60.00 60.00
Last column: nearest neighbours and their distance in Å.
Sites, in units of the cell vectors:
Lu 0.2500 0.2500 0.2500  4 Si 2.89
Lu 0.7500 0.7500 0.7500  4 Si 2.89
Si 0.0000 0.0000 0.0000  8 Lu 2.89

Uncorrected energy in eV/atom: -5.25
Magnetization in μB/f.u.: 0.0

=====

(7)
A geometry-optimized Lu2Si structure. Source: the Open Quantum Materials Database, functional PBE.

Lattice parameters (Å, degrees): 8.6751 8.6751 8.6751 60.00 60.00 60.00
Last column: nearest neighbours and their distance in Å.
Sites, in units of the cell vectors:
Lu 0.0000 0.0000 0.0000  2 Si 2.66
Lu 0.5000 0.0000 0.0000  2 Si 2.66
Lu 0.0000 0.5000 0.0000  2 Si 2.66
Lu 0.0000 0.0000 0.5000  2 Si 2.66
Si 0.1250 0.1250 0.1250  4 Lu 2.66
Si 0.8750 0.8750 0.8750  4 Lu 2.66

Uncorrected energy in eV/atom: -3.64
Magnetization in μB/f.u.: 0.0

=====

(8)
A geometry-optimized Lu2Si structure. Source: the Open Quantum Materials Database, functional PBE.

Lattice parameters (Å, degrees): 5.9423 5.9423 5.9423 60.00 60.00 60.00
Last column: nearest neighbours and their distance in Å.
Sites, in units of the cell vectors:
Lu 0.6250 0.6250 0.1250  6 Lu 2.97
Lu 0.6250 0.1250 0.6250  6 Lu 2.97
Lu 0.1250 0.6250 0.6250  6 Lu 2.97
Lu 0.6250 0.6250 0.6250  6 Lu 2.97
Si 0.0000 0.0000 0.0000  12 Lu 3.48, 4 Si 3.64
Si 0.2500 0.2500 0.2500  12 Lu 3.48, 4 Si 3.64

Uncorrected energy in eV/atom: -4.33
Magnetization in μB/f.u.: 0.0